# 1
A plane-wave DFT calculation with PBE was carried out for a geometry-optimized InAs5Ir3 structure.

a b c (Å): 5.5795 5.5795 7.1416
angles (deg): 90.00 90.00 120.00
Element x y z (fractional)
As 0.6667 0.3333 0.2265
As 0.3333 0.6667 0.2265
As 0.0000 0.0000 0.5000
As 0.6667 0.3333 0.7735
As 0.3333 0.6667 0.7735
In 0.0000 0.0000 0.0000
Ir 0.5000 0.0000 0.5000
Ir 0.0000 0.5000 0.5000
Ir 0.5000 0.5000 0.5000

Results
E ... -51.654 eV per formula unit

# 2
A plane-wave DFT calculation with PBE was carried out for a geometry-optimized InAs4Ir2 structure.

a b c (Å): 4.3851 4.3851 6.7167
angles (deg): 90.00 90.00 90.00
Element x y z (fractional)
As 0.5000 0.0000 0.2762
As 0.0000 0.5000 0.2762
As 0.5000 0.0000 0.7238
As 0.0000 0.5000 0.7238
In 0.5000 0.5000 0.0000
Ir 0.0000 0.0000 0.0000
Ir 0.5000 0.5000 0.5000

Results
E ... -38.220 eV per formula unit